1.
{"formula": "NdHoB4", "functional": "GGA-PBE", "state": "relaxed", "lattice_angstrom": [[-1.656, 2.872, 3.989], [1.656, -2.872, 3.989], [1.656, 2.872, -3.989]], "species": ["Nd", "Ho", "B", "B", "B", "B"], "fractional_positions": [[0.000, 0.000, 0.000], [0.500, 0.500, 0.000], [0.086, 0.752, 0.334], [0.419, 0.752, 0.666], [0.581, 0.248, 0.334], [0.914, 0.248, 0.666]], "e_above_lowest_polymorph_ev_per_atom": 0.027, "spacegroup": "No. 71"}

=====

2.
{"formula": "LaNbAs", "functional": "GGA-PBE", "state": "relaxed", "lattice_angstrom": [[0.000, 3.549, 3.549], [3.549, 0.000, 3.549], [3.549, 3.549, 0.000]], "species": ["La", "Nb", "As"], "fractional_positions": [[0.000, 0.000, 0.000], [0.250, 0.250, 0.250], [0.750, 0.750, 0.750]], "e_above_lowest_polymorph_ev_per_atom": 0.566, "spacegroup": "No. 216"}

=====

3.
{"formula": "InIrCl6", "functional": "GGA-PBE", "state": "relaxed", "lattice_angstrom": [[3.189, -5.513, 0.000], [3.189, 5.513, 0.000], [-2.129, 0.000, 5.949]], "species": ["In", "Ir", "Cl", "Cl", "Cl", "Cl", "Cl", "Cl"], "fractional_positions": [[0.000, 0.000, 0.000], [0.667, 0.333, 0.000], [0.041, 0.401, 0.228], [0.285, 0.250, 0.772], [0.435, 0.109, 0.226], [0.599, 0.959, 0.772], [0.750, 0.715, 0.228], [0.891, 0.565, 0.774]], "e_tot_ev_per_atom": -3.643, "spacegroup": "No. 5"}

=====

4.
{"formula": "Li4Zn2InGa", "functional": "GGA-PBE", "state": "relaxed", "lattice_angstrom": [[4.405, 0.000, 0.000], [0.000, 4.405, 0.000], [0.000, 0.000, 6.303]], "species": ["Li", "Li", "Li", "Li", "Zn", "Zn", "In", "Ga"], "fractional_positions": [[0.000, 0.000, 0.000], [0.000, 0.500, 0.233], [0.500, 0.000, 0.767], [0.500, 0.500, 0.500], [0.000, 0.500, 0.769], [0.500, 0.000, 0.231], [0.000, 0.000, 0.500], [0.500, 0.500, 0.000]], "e_tot_ev_per_atom": -2.280, "spacegroup": "No. 115"}

=====

5.
{"formula": "AlHgAsO", "functional": "GGA-PBE", "state": "relaxed", "lattice_angstrom": [[4.118, 0.000, 0.000], [0.000, 7.104, 0.000], [0.000, 0.000, 5.577]], "species": ["Al", "Al", "Hg", "Hg", "As", "As", "O", "O"], "fractional_positions": [[0.000, 0.116, 0.000], [0.000, 0.884, 0.500], [0.500, 0.326, 0.422], [0.500, 0.674, 0.922], [0.500, 0.297, 0.897], [0.500, 0.703, 0.397], [0.000, 0.081, 0.312], [0.000, 0.919, 0.812]], "e_above_lowest_polymorph_ev_per_atom": 0.000, "spacegroup": "No. 26"}

=====

6.
{"formula": "LaAlZnPt2", "functional": "GGA-PBE", "state": "relaxed", "lattice_angstrom": [[-2.050, 2.050, 5.900], [2.050, -2.050, 5.900], [2.050, 2.050, -5.900]], "species": ["La", "Al", "Zn", "Pt", "Pt"], "fractional_positions": [[0.000, 0.000, 0.000], [0.250, 0.750, 0.500], [0.750, 0.250, 0.500], [0.383, 0.383, 0.000], [0.617, 0.617, 0.000]], "e_tot_ev_per_atom": -5.377, "spacegroup": "No. 119"}

=====

7.
{"formula": "Rb2Cd3", "functional": "GGA-PBE", "state": "relaxed", "lattice_angstrom": [[3.115, -6.489, 0.000], [3.115, 6.489, 0.000], [0.000, 0.000, 9.567]], "species": ["Rb", "Rb", "Rb", "Rb", "Cd", "Cd", "Cd", "Cd", "Cd", "Cd"], "fractional_positions": [[0.167, 0.833, 0.902], [0.333, 0.667, 0.402], [0.667, 0.333, 0.598], [0.833, 0.167, 0.098], [0.000, 0.000, 0.500], [0.172, 0.328, 0.750], [0.328, 0.172, 0.250], [0.500, 0.500, 0.000], [0.672, 0.828, 0.750], [0.828, 0.672, 0.250]], "e_tot_ev_per_atom": -0.992, "spacegroup": "No. 64"}

=====

8.
{"formula": "SmInB", "functional": "GGA-PBE", "state": "relaxed", "lattice_angstrom": [[0.000, 3.259, 3.259], [3.259, 0.000, 3.259], [3.259, 3.259, 0.000]], "species": ["Sm", "In", "B"], "fractional_positions": [[0.000, 0.000, 0.000], [0.750, 0.750, 0.750], [0.500, 0.500, 0.500]], "e_above_lowest_polymorph_ev_per_atom": 0.831, "spacegroup": "No. 216"}

=====

9.
{"formula": "Tl2AgIr", "functional": "GGA-PBE", "state": "relaxed", "lattice_angstrom": [[0.000, 3.467, 3.467], [3.467, 0.000, 3.467], [3.467, 3.467, 0.000]], "species": ["Tl", "Tl", "Ag", "Ir"], "fractional_positions": [[0.000, 0.000, 0.000], [0.250, 0.250, 0.250], [0.750, 0.750, 0.750], [0.500, 0.500, 0.500]], "e_tot_ev_per_atom": -3.520, "spacegroup": "No. 216"}

=====

10.
{"formula": "HoZrSc2Sb2", "functional": "GGA-PBE", "state": "relaxed", "lattice_angstrom": [[-2.106, 2.106, 8.085], [2.106, -2.106, 8.085], [2.106, 2.106, -8.085]], "species": ["Ho", "Zr", "Sc", "Sc", "Sb", "Sb"], "fractional_positions": [[0.000, 0.000, 0.000], [0.355, 0.355, 0.000], [0.182, 0.682, 0.500], [0.682, 0.182, 0.500], [0.546, 0.546, 0.000], [0.814, 0.814, 0.000]], "e_tot_ev_per_atom": -6.390, "spacegroup": "No. 107"}

=====

11.
{"formula": "LiTmSeS", "functional": "GGA-PBE", "state": "relaxed", "lattice_angstrom": [[1.963, 1.133, 6.277], [-1.963, 1.133, 6.277], [0.000, -2.266, 6.277]], "species": ["Li", "Tm", "Se", "S"], "fractional_positions": [[0.000, 0.000, 0.000], [0.495, 0.495, 0.495], [0.251, 0.251, 0.251], [0.750, 0.750, 0.750]], "e_tot_ev_per_atom": -5.271, "spacegroup": "No. 160"}

=====

12.
{"formula": "Pa2IrF2", "functional": "GGA-PBE", "state": "relaxed", "lattice_angstrom": [[-1.830, 1.830, 6.280], [1.830, -1.830, 6.280], [1.830, 1.830, -6.280]], "species": ["Pa", "Pa", "Ir", "F", "F"], "fractional_positions": [[0.107, 0.107, 0.000], [0.893, 0.893, 0.000], [0.500, 0.500, 0.000], [0.250, 0.750, 0.500], [0.750, 0.250, 0.500]], "e_tot_ev_per_atom": -8.273, "spacegroup": "No. 139"}